Material: CrBSbTe2
Method: DFT, PBE-GGA
State: relaxed

Unit cell a=4.7582 b=4.7582 c=4.7170 alpha=90.00 beta=90.00 gamma=90.00
Fractional coordinates of all 5 atoms:
1 Cr 0.0000 0.0000 0.0000
2 B 0.5000 0.5000 0.5000
3 Sb 0.5000 0.5000 0.0000
4 Te 0.0000 0.5000 0.5000
5 Te 0.5000 0.0000 0.5000

Values from the calculation:
formation energy from raw total energies	1.237	eV/atom
calculated volume	21.359	Å³ per atom
N(E_F)	4.80	states/eV per cell
SG	No. 123


Material: CrBSb2Te
Method: DFT, PBE-GGA
State: relaxed

Unit cell a=4.7359 b=4.7359 c=4.7530 alpha=90.00 beta=90.00 gamma=90.00
Fractional coordinates of all 5 atoms:
1 Cr 0.0000 0.0000 0.0000
2 B 0.5000 0.5000 0.5000
3 Sb 0.0000 0.5000 0.5000
4 Sb 0.5000 0.0000 0.5000
5 Te 0.5000 0.5000 0.0000

Values from the calculation:
formation energy from raw total energies	1.255	eV/atom
calculated volume	21.320	Å³ per atom
N(E_F)	6.44	states/eV per cell
SG	No. 123


Material: CrBSb2Te
Method: DFT, PBE-GGA
State: relaxed

Unit cell a=5.0016 b=5.0016 c=5.2637 alpha=90.00 beta=90.00 gamma=90.00
Fractional coordinates of all 5 atoms:
1 Cr 0.0000 0.0000 0.0000
2 B 0.5000 0.5000 0.5000
3 Sb 0.0000 0.5000 0.0000
4 Sb 0.5000 0.0000 0.0000
5 Te 0.0000 0.0000 0.5000

Values from the calculation:
formation energy from raw total energies	1.252	eV/atom
calculated volume	26.335	Å³ per atom
N(E_F)	4.35	states/eV per cell
SG	No. 123


Material: Sc2CrB2
Method: DFT, PBE-GGA
State: relaxed

Unit cell a=6.1080 b=6.1080 c=3.5251 alpha=90.00 beta=90.00 gamma=90.00
Fractional coordinates of all 10 atoms:
1 Sc 0.1831 0.3169 0.0000
2 Sc 0.3169 0.8169 0.0000
3 Sc 0.6831 0.1831 0.0000
4 Sc 0.8169 0.6831 0.0000
5 Cr 0.0000 0.0000 0.5000
6 Cr 0.5000 0.5000 0.5000
7 B 0.1014 0.6014 0.5000
8 B 0.3986 0.1014 0.5000
9 B 0.6014 0.8986 0.5000
10 B 0.8986 0.3986 0.5000

Values from the calculation:
calculated volume	13.151	Å³ per atom
N(E_F)	3.89	states/eV per cell
SG	No. 127
ΔE_f	-0.30	eV per atom


Material: ScCr2B4
Method: DFT, PBE-GGA
State: relaxed

Unit cell a=6.9594 b=6.9594 c=6.9594 alpha=154.95 beta=153.91 gamma=36.48
Fractional coordinates of all 7 atoms:
1 Sc 0.0000 0.0000 0.0000
2 Cr 0.1893 0.6893 0.5000
3 Cr 0.8107 0.3107 0.5000
4 B 0.3567 0.8567 0.5000
5 B 0.4269 0.4269 0.0000
6 B 0.5731 0.5731 0.0000
7 B 0.6433 0.1433 0.5000

Values from the calculation:
calculated volume	8.954	Å³ per atom
N(E_F)	3.00	states/eV per cell
SG	No. 71
ΔE_f	-0.58	eV per atom


Material: ScTl2CrB
Method: DFT, PBE-GGA
State: relaxed

Unit cell a=4.9340 b=4.9340 c=4.1692 alpha=90.00 beta=90.00 gamma=90.00
Fractional coordinates of all 5 atoms:
1 Sc 0.0000 0.0000 0.0000
2 Tl 0.0000 0.5000 0.5000
3 Tl 0.5000 0.0000 0.5000
4 Cr 0.5000 0.5000 0.0000
5 B 0.5000 0.5000 0.5000

Values from the calculation:
calculated volume	20.299	Å³ per atom
N(E_F)	3.43	states/eV per cell
SG	No. 123
ΔE_f	0.60	eV per atom


Material: CrBSe2
Method: DFT, PBE-GGA
State: relaxed

Unit cell a=6.1837 b=6.1837 c=6.1837 alpha=125.29 beta=125.29 gamma=81.07
Fractional coordinates of all 8 atoms:
1 Cr 0.0000 0.0000 0.0000
2 Cr 0.7500 0.2500 0.5000
3 B 0.2500 0.7500 0.5000
4 B 0.5000 0.5000 0.0000
5 Se 0.1951 0.6250 0.0701
6 Se 0.3750 0.4451 0.5701
7 Se 0.5549 0.1250 0.9299
8 Se 0.8750 0.8049 0.4299

Values from the calculation:
formation energy from raw total energies	0.164	eV/atom
calculated volume	18.976	Å³ per atom
N(E_F)	1.12	states/eV per cell
SG	No. 122


Material: CrB2Se
Method: DFT, PBE-GGA
State: relaxed

Unit cell a=5.6519 b=5.6519 c=5.6519 alpha=128.32 beta=128.32 gamma=76.11
Fractional coordinates of all 8 atoms:
1 Cr 0.0000 0.0000 0.0000
2 Cr 0.7500 0.2500 0.5000
3 B 0.1159 0.6250 0.9909
4 B 0.3750 0.3659 0.4909
5 B 0.6341 0.1250 0.0091
6 B 0.8750 0.8841 0.5091
7 Se 0.2500 0.7500 0.5000
8 Se 0.5000 0.5000 0.0000

Values from the calculation:
formation energy from raw total energies	0.893	eV/atom
calculated volume	13.504	Å³ per atom
N(E_F)	4.09	states/eV per cell
SG	No. 122


Look up the calculated volume of the fourth one.
13.151 Å³ per atom